1.
# Cs5Hg6Bi

Cs5Hg6Bi after structural relaxation (GGA-PBE, Alexandria via LeMat-Bulk).

Cell lengths 10.532, 10.532, 7.123 Å; angles 100.15, 100.15, 125.63 degrees
Element x y z (fractional)
Cs: 0.000 0.000 0.000
Cs: 0.188 0.812 0.500
Cs: 0.388 0.612 0.000
Cs: 0.612 0.388 0.000
Cs: 0.812 0.188 0.500
Hg: 0.017 0.630 0.894
Hg: 0.203 0.203 0.587
Hg: 0.370 0.983 0.106
Hg: 0.630 0.017 0.894
Hg: 0.797 0.797 0.413
Hg: 0.983 0.370 0.106
Bi: 0.500 0.500 0.500

total magnetic moment = 0.000 μB/atom
E_tot = -1.054 eV/atom
ΔH_f (0 K) = -0.22 eV/atom
crystal system = monoclinic



2.
# CrBi2Pd

CrBi2Pd after structural relaxation (GGA-PBE, Alexandria via LeMat-Bulk).

Cell lengths 9.617, 9.617, 9.617 Å; angles 151.61, 151.61, 40.59 degrees
Element x y z (fractional)
Cr: 0.000 0.000 0.000
Cr: 0.750 0.250 0.500
Bi: 0.130 0.625 0.005
Bi: 0.375 0.380 0.505
Bi: 0.620 0.125 0.995
Bi: 0.875 0.870 0.495
Pd: 0.250 0.750 0.500
Pd: 0.500 0.500 0.000

total magnetic moment = 0.953 μB/atom
E_tot = -5.360 eV/atom
relative energy among the computed polymorphs = 0.000 eV per atom
ΔH_f (0 K) = 0.28 eV/atom
crystal system = tetragonal



3.
# PrLuHgRh

PrLuHgRh after structural relaxation (GGA-PBE, Alexandria via LeMat-Bulk).

Cell lengths 5.112, 5.112, 5.112 Å; angles 60.00, 60.00, 60.00 degrees
Element x y z (fractional)
Pr: 0.000 0.000 0.000
Lu: 0.500 0.500 0.500
Hg: 0.750 0.750 0.750
Rh: 0.250 0.250 0.250

total magnetic moment = 0.001 μB/atom
E_tot = -4.786 eV/atom
ΔH_f (0 K) = -0.55 eV/atom
crystal system = cubic



4.
# MoW2Se

MoW2Se after structural relaxation (GGA-PBE, Alexandria via LeMat-Bulk).

Cell lengths 8.497, 8.497, 8.497 Å; angles 20.53, 20.53, 20.53 degrees
Element x y z (fractional)
Mo: 0.000 0.000 0.000
W: 0.250 0.250 0.250
W: 0.750 0.750 0.750
Se: 0.500 0.500 0.500

total magnetic moment = 0.000 μB/atom
formation energy (no corrections) = 0.463 eV per atom
E_tot = -9.593 eV/atom
crystal system = trigonal



5.
# Cu2HgMo

Cu2HgMo after structural relaxation (GGA-PBE, Alexandria via LeMat-Bulk).

Cell lengths 2.839, 2.839, 7.527 Å; angles 90.00, 90.00, 90.00 degrees
Element x y z (fractional)
Cu: 0.000 0.000 0.000
Cu: 0.500 0.500 0.201
Hg: 0.000 0.000 0.469
Mo: 0.500 0.500 0.769

total magnetic moment = 0.000 μB/atom
E_tot = -4.528 eV/atom
ΔH_f (0 K) = 0.30 eV/atom
crystal system = tetragonal



6.
# Y2Ho5Bi5

Y2Ho5Bi5 after structural relaxation (GGA-PBE, Alexandria via LeMat-Bulk).

Cell lengths 7.619, 7.619, 12.710 Å; angles 110.66, 110.66, 33.78 degrees
Element x y z (fractional)
Y: 0.049 0.049 0.286
Y: 0.951 0.951 0.714
Ho: 0.292 0.292 0.167
Ho: 0.337 0.337 0.470
Ho: 0.500 0.500 0.000
Ho: 0.663 0.663 0.530
Ho: 0.708 0.708 0.833
Bi: 0.000 0.000 0.500
Bi: 0.121 0.121 0.940
Bi: 0.301 0.301 0.716
Bi: 0.699 0.699 0.284
Bi: 0.879 0.879 0.060

total magnetic moment = 0.000 μB/atom
E_tot = -5.182 eV/atom
ΔH_f (0 K) = -0.58 eV/atom
crystal system = monoclinic



7.
# ReTe2Os

ReTe2Os after structural relaxation (GGA-PBE, Alexandria via LeMat-Bulk).

Cell lengths 5.471, 5.471, 5.471 Å; angles 137.19, 137.19, 62.15 degrees
Element x y z (fractional)
Re: 0.000 0.000 0.000
Te: 0.250 0.750 0.500
Te: 0.500 0.500 0.000
Os: 0.750 0.250 0.500

total magnetic moment = 0.000 μB/atom
formation energy (no corrections) = 1.187 eV per atom
E_tot = -6.303 eV/atom
relative energy among the computed polymorphs = 0.784 eV per atom
crystal system = tetragonal



8.
# LaBeRu

LaBeRu after structural relaxation (GGA-PBE, Alexandria via LeMat-Bulk).

Cell lengths 4.009, 4.009, 4.200 Å; angles 90.00, 90.00, 120.00 degrees
Element x y z (fractional)
La: 0.000 0.000 0.000
Be: 0.333 0.667 0.500
Ru: 0.667 0.333 0.500

total magnetic moment = 0.000 μB/atom
E_tot = -6.141 eV/atom
relative energy among the computed polymorphs = 0.118 eV per atom
ΔH_f (0 K) = -0.16 eV/atom
crystal system = hexagonal



9.
# PWS2Cl

PWS2Cl after structural relaxation (GGA-PBE, Alexandria via LeMat-Bulk).

Cell lengths 4.593, 4.593, 4.928 Å; angles 90.00, 90.00, 90.00 degrees
Element x y z (fractional)
P: 0.000 0.000 0.000
W: 0.000 0.000 0.500
S: 0.000 0.500 0.500
S: 0.500 0.000 0.500
Cl: 0.500 0.500 0.000

total magnetic moment = 0.000 μB/atom
formation energy (no corrections) = 0.202 eV per atom
E_tot = -5.491 eV/atom
relative energy among the computed polymorphs = 0.000 eV per atom
crystal system = tetragonal



10.
# TiNiPb3

TiNiPb3 after structural relaxation (GGA-PBE, Alexandria via LeMat-Bulk).

Cell lengths 5.373, 5.373, 5.373 Å; angles 90.00, 90.00, 90.00 degrees
Element x y z (fractional)
Ti: 0.000 0.000 0.000
Ni: 0.500 0.500 0.500
Pb: 0.000 0.000 0.500
Pb: 0.000 0.500 0.000
Pb: 0.500 0.000 0.000

total magnetic moment = 0.000 μB/atom
E_tot = -4.114 eV/atom
relative energy among the computed polymorphs = 0.239 eV per atom
ΔH_f (0 K) = 0.85 eV/atom
crystal system = cubic



11.
# CaSnB

CaSnB after structural relaxation (GGA-PBE, Alexandria via LeMat-Bulk).

Cell lengths 3.881, 5.260, 6.661 Å; angles 90.00, 90.00, 90.00 degrees
Element x y z (fractional)
Ca: 0.000 0.000 0.000
Ca: 0.000 0.500 0.467
Sn: 0.500 0.000 0.601
Sn: 0.500 0.500 0.060
B: 0.500 0.152 0.270
B: 0.500 0.848 0.270

total magnetic moment = 0.000 μB/atom
E_tot = -4.363 eV/atom
relative energy among the computed polymorphs = 0.030 eV per atom
ΔH_f (0 K) = -0.14 eV/atom
crystal system = orthorhombic



12.
# CrGaH2Ru

CrGaH2Ru after structural relaxation (GGA-PBE, Alexandria via LeMat-Bulk).

Cell lengths 3.375, 3.375, 5.643 Å; angles 90.00, 90.00, 90.00 degrees
Element x y z (fractional)
Cr: 0.000 0.000 0.000
Ga: 0.000 0.000 0.500
H: 0.000 0.500 0.500
H: 0.500 0.000 0.500
Ru: 0.500 0.500 0.000

total magnetic moment = 0.469 μB/atom
E_tot = -4.880 eV/atom
crystal system = tetragonal



- Number 10 is which compound?
  TiNiPb3



- Look up the total magnetic moment of the second one.
  0.953 μB/atom